# 1
PBE-GGA TaCr2Tc, optimized geometry; distance to the lowest polymorph of the same formula = 730 meV/atom; E = -9.69 eV per atom; symmetry = I-42d (122); energy relative to the elements = 0.672 eV per atom; N(E_F) = 1.534 states/eV per atom
1.0
-1.6028 4.1124 -5.2017
-6.0833 1.2177 2.8371
-2.8374 4.6867 0.1061
Cr Tc Ta
4 2 2
direct
0.6033 0.1250 0.2500
0.1467 0.6250 0.2500
0.3750 0.3967 0.7500
0.8750 0.8533 0.7500
0.5000 0.5000 0.0000
0.2500 0.7500 0.5000
0.0000 0.0000 0.0000
0.7500 0.2500 0.5000



# 2
PBE-GGA Pu2InBi4, optimized geometry; distance to the lowest polymorph of the same formula = 0 meV/atom; E = -6.94 eV per atom; symmetry = Cmmm (65); energy relative to the elements = -0.239 eV per atom; N(E_F) = 3.072 states/eV per atom
1.0
-4.1969 2.3496 -0.5782
-0.0220 -1.6360 -6.4880
-3.3255 -5.4412 2.0263
In Bi Pu
1 4 2
direct
0.5000 0.5000 0.5000
0.0000 0.7719 0.7719
0.0000 0.2281 0.2281
0.5000 0.0000 0.5000
0.5000 0.5000 0.0000
0.0000 0.7333 0.2667
0.0000 0.2667 0.7333



# 3
PBE-GGA RePb4Se, optimized geometry; E = -4.03 eV per atom; symmetry = F-43m (216); energy relative to the elements, uncorrected = 1.09 eV per atom; N(E_F) = 0.874 states/eV per atom
1.0
0.0000 4.4470 4.4470
4.4470 0.0000 4.4470
4.4470 4.4470 0.0000
Re Pb Se
1 4 1
direct
0.7500 0.7500 0.7500
0.8736 0.3755 0.3755
0.3755 0.3755 0.8736
0.3755 0.8736 0.3755
0.3755 0.3755 0.3755
0.0000 0.0000 0.0000



# 4
PBE-GGA Cu5SbCl12, optimized geometry; E = -3.15 eV per atom; symmetry = C2/m (12); energy relative to the elements, uncorrected = -0.56 eV per atom; N(E_F) = 0.468 states/eV per atom
1.0
-2.1796 0.0463 8.1614
-0.5440 -4.9554 4.2547
12.8430 1.4199 0.3408
Cu Sb Cl
5 1 12
direct
0.5000 0.0000 0.5000
0.1667 0.6666 0.5000
0.8333 0.3334 0.5000
0.6601 0.6799 0.0000
0.3400 0.3201 0.0000
0.0000 0.0000 0.0000
0.8680 0.0000 0.3941
0.1320 0.0000 0.6059
0.6724 0.0000 0.9580
0.3276 0.0000 0.0420
0.1753 0.6164 0.8615
0.2083 0.6164 0.1385
0.7917 0.3836 0.8615
0.8247 0.3836 0.1385
0.4656 0.3332 0.6055
0.7988 0.6668 0.6055
0.2012 0.3332 0.3945
0.5344 0.6668 0.3945



# 5
PBE-GGA SiH6N2F6, optimized geometry; E = -5.22 eV per atom; symmetry = Pbca (61); N(E_F) = 0.000 states/eV per atom
1.0
7.5494 0.0000 0.0000
0.0000 8.0115 0.0000
0.0000 0.0000 8.6773
F H N Si
24 24 8 4
direct
0.8455 0.6121 0.6023
0.1545 0.8879 0.1023
0.3455 0.3879 0.8977
0.6545 0.1121 0.3977
0.1545 0.3879 0.3977
0.8455 0.1121 0.8977
0.6545 0.6121 0.1023
0.3455 0.8879 0.6023
0.8384 0.4272 0.3801
0.1616 0.0728 0.8801
0.3384 0.5728 0.1199
0.6616 0.9272 0.6199
0.1616 0.5728 0.6199
0.8384 0.9272 0.1199
0.6616 0.4272 0.8801
0.3384 0.0728 0.3801
0.0331 0.6673 0.3772
0.9669 0.8327 0.8772
0.5331 0.3327 0.1228
0.4669 0.1673 0.6228
0.9669 0.3327 0.6228
0.0331 0.1673 0.1228
0.4669 0.6673 0.8772
0.5331 0.8327 0.3772
0.1410 0.4561 0.8925
0.8590 0.0439 0.3925
0.6410 0.5439 0.6075
0.3590 0.9561 0.1075
0.8590 0.5439 0.1075
0.1410 0.9561 0.6075
0.3590 0.4561 0.3925
0.6410 0.0439 0.8925
0.9139 0.4419 0.8621
0.0861 0.0581 0.3621
0.4139 0.5581 0.6379
0.5861 0.9419 0.1379
0.0861 0.5581 0.1379
0.9139 0.9419 0.6379
0.5861 0.4419 0.3621
0.4139 0.0581 0.8621
0.0078 0.6335 0.8869
0.9922 0.8665 0.3869
0.5078 0.3665 0.6131
0.4922 0.1335 0.1131
0.9922 0.3665 0.1131
0.0078 0.1335 0.6131
0.4922 0.6335 0.3869
0.5078 0.8665 0.8869
0.0148 0.5062 0.9179
0.9852 0.9938 0.4179
0.5148 0.4938 0.5821
0.4852 0.0062 0.0821
0.9852 0.4938 0.0821
0.0148 0.0062 0.5821
0.4852 0.5062 0.4179
0.5148 0.9938 0.9179
0.0000 0.5000 0.5000
0.0000 0.0000 0.0000
0.5000 0.5000 0.0000
0.5000 0.0000 0.5000



# 6
PBE-GGA LaPO2F, optimized geometry; E = -5.64 eV per atom; symmetry = P4/mmm (123); energy relative to the elements, uncorrected = -1.21 eV per atom; N(E_F) = 0.594 states/eV per atom
1.0
4.6770 0.0000 0.0000
0.0000 4.6770 0.0000
0.0000 0.0000 4.5688
P F O La
1 1 2 1
direct
0.5000 0.5000 0.5000
0.0000 0.0000 0.5000
0.0000 0.5000 0.0000
0.5000 0.0000 0.0000
0.0000 0.0000 0.0000



# 7
PBE-GGA TlPdIBr2, optimized geometry; distance to the lowest polymorph of the same formula = 0 meV/atom; E = -2.94 eV per atom; symmetry = Cmcm (63); energy relative to the elements, uncorrected = -0.45 eV per atom; N(E_F) = 0.412 states/eV per atom
1.0
-2.3190 -1.8703 2.9183
5.4019 -6.9028 -3.1113
5.6558 1.8624 5.6878
Tl Pd I Br
2 2 2 4
direct
0.7048 0.4095 0.7500
0.2952 0.5905 0.2500
0.0000 0.0000 0.0000
0.0000 0.0000 0.5000
0.5030 0.0059 0.7500
0.4970 0.9941 0.2500
0.1378 0.2757 0.0124
0.8622 0.7243 0.9876
0.1378 0.2757 0.4876
0.8622 0.7243 0.5124



# 8
PBE-GGA Pr4CoTe, optimized geometry; E = -5.32 eV per atom; symmetry = C2/c (15); energy relative to the elements, uncorrected = -0.43 eV per atom; N(E_F) = 1.066 states/eV per atom
1.0
6.6271 0.0354 0.0000
-1.6466 7.8771 0.0000
-2.4903 -3.9562 7.1671
Pr Co Te
8 2 2
direct
0.0065 0.1988 0.8895
0.7887 0.6937 0.6206
0.3830 0.6907 0.8895
0.3319 0.9269 0.6206
0.6681 0.0731 0.3794
0.6170 0.3093 0.1105
0.2113 0.3063 0.3794
0.9935 0.8012 0.1105
0.2417 0.9917 0.9834
0.7583 0.0083 0.0166
0.3764 0.6264 0.2527
0.6236 0.3736 0.7473



# 9
PBE-GGA CoHPt3, optimized geometry; distance to the lowest polymorph of the same formula = 1407 meV/atom; E = -4.21 eV per atom; symmetry = Pm-3m (221); N(E_F) = 0.842 states/eV per atom
1.0
4.5638 0.0000 0.0000
0.0000 4.5638 0.0000
0.0000 0.0000 4.5638
H Co Pt
1 1 3
direct
0.5000 0.5000 0.5000
0.0000 0.0000 0.0000
0.0000 0.5000 0.0000
0.0000 0.0000 0.5000
0.5000 0.0000 0.0000



# 10
PBE-GGA Ta4NbOs5, optimized geometry; E = -11.55 eV per atom; symmetry = P4/mmm (123); energy relative to the elements = -0.192 eV per atom; N(E_F) = 1.274 states/eV per atom
1.0
-0.7465 1.1756 2.9430
-0.4355 -3.0329 1.1010
14.7882 -0.6653 4.0167
Ta Nb Os
4 1 5
direct
0.0000 0.0000 0.1990
0.0000 0.0000 0.4003
0.0000 0.0000 0.5997
0.0000 0.0000 0.8010
0.0000 0.0000 0.0000
0.5000 0.5000 0.1016
0.5000 0.5000 0.3001
0.5000 0.5000 0.5000
0.5000 0.5000 0.6999
0.5000 0.5000 0.8984



# 11
PBE-GGA BaMg2Sn4, optimized geometry; E = -3.30 eV per atom; symmetry = Immm (71); energy relative to the elements = -0.282 eV per atom; N(E_F) = 0.369 states/eV per atom
1.0
4.3605 0.0000 -0.9942
-0.2398 4.5015 -1.0516
0.1594 0.1419 10.7586
Ba Mg Sn
1 2 4
direct
0.5000 0.0000 0.0000
0.8235 0.8235 0.6470
0.1765 0.1765 0.3530
0.6804 0.6804 0.3609
0.3196 0.3196 0.6391
0.0851 0.5851 0.1701
0.9149 0.4149 0.8299



# 12
PBE-GGA La2AlCl, optimized geometry; distance to the lowest polymorph of the same formula = 391 meV/atom; E = -4.42 eV per atom; symmetry = I-4m2 (119); energy relative to the elements, uncorrected = -0.55 eV per atom; N(E_F) = 1.100 states/eV per atom
1.0
6.7260 0.0093 0.0000
3.8893 5.4874 0.0000
-5.3077 -2.7484 3.0845
Cl Al La
1 1 2
direct
0.7500 0.2500 0.5000
0.5000 0.5000 0.0000
0.0000 0.0000 0.0000
0.2500 0.7500 0.5000



# 13
PBE-GGA AcFeGe3, optimized geometry; distance to the lowest polymorph of the same formula = 267 meV/atom; E = -5.48 eV per atom; symmetry = Pm-3m (221); energy relative to the elements = -0.200 eV per atom; N(E_F) = 0.881 states/eV per atom
1.0
-2.1708 -0.3603 4.2325
4.2429 -0.4124 2.1410
0.2042 4.7389 0.5081
Ac Ge Fe
1 3 1
direct
0.5000 0.5000 0.5000
0.0000 0.5000 0.0000
0.0000 0.0000 0.5000
0.5000 0.0000 0.0000
0.0000 0.0000 0.0000



# 14
PBE-GGA Tm5In2Ir2, optimized geometry; E = -5.71 eV per atom; symmetry = Cmce (64); energy relative to the elements = -0.647 eV per atom; N(E_F) = 0.667 states/eV per atom
1.0
7.4312 0.0000 0.0000
0.0000 6.7173 -3.4532
0.0000 0.3497 8.9403
Tm In Ir
10 4 4
direct
0.0000 0.0000 0.0000
0.5000 0.5000 0.0000
0.8355 0.7838 0.2297
0.1645 0.4459 0.2297
0.3355 0.9459 0.2297
0.6645 0.2838 0.2297
0.1645 0.2162 0.7703
0.8355 0.5541 0.7703
0.6645 0.0541 0.7703
0.3355 0.7162 0.7703
0.0000 0.2206 0.4411
0.5000 0.7206 0.4411
0.0000 0.7794 0.5589
0.5000 0.2794 0.5589
0.6359 0.8656 0.0000
0.3641 0.1344 0.0000
0.1359 0.6344 0.0000
0.8641 0.3656 0.0000



# 15
PBE-GGA SrCa2IrPt, optimized geometry; distance to the lowest polymorph of the same formula = 1502 meV/atom; E = -2.65 eV per atom; symmetry = P4/mmm (123); energy relative to the elements = 1.470 eV per atom; N(E_F) = 1.081 states/eV per atom
1.0
-3.5494 -4.5328 0.6751
0.8370 -1.3494 -4.6591
4.4756 -3.2449 1.7438
Sr Ca Ir Pt
1 2 1 1
direct
0.0000 0.0000 0.0000
0.0000 0.0000 0.5000
0.5000 0.0000 0.0000
0.5000 0.5000 0.5000
0.0000 0.5000 0.0000



# 16
PBE-GGA AlCr2Cl, optimized geometry; distance to the lowest polymorph of the same formula = 621 meV/atom; E = -5.57 eV per atom; symmetry = Fm-3m (225); energy relative to the elements, uncorrected = 0.64 eV per atom; N(E_F) = 0.943 states/eV per atom
1.0
0.0000 3.2563 3.2563
3.2563 0.0000 3.2563
3.2563 3.2563 0.0000
Cr Al Cl
2 1 1
direct
0.2500 0.2500 0.2500
0.7500 0.7500 0.7500
0.0000 0.0000 0.0000
0.5000 0.5000 0.5000



# 17
PBE-GGA ZrSbCl2, optimized geometry; distance to the lowest polymorph of the same formula = 250 meV/atom; E = -4.92 eV per atom; symmetry = Imm2 (44); energy relative to the elements, uncorrected = -0.83 eV per atom; N(E_F) = 0.631 states/eV per atom
1.0
8.7567 0.1022 -0.0040
6.8332 5.4769 0.0040
-7.4052 -3.8786 2.6094
Sb Zr Cl
1 1 2
direct
0.3990 0.3990 0.0000
0.2395 0.7395 0.5000
0.1155 0.1155 0.0000
0.7460 0.2460 0.5000



# 18
PBE-GGA KCd2I, optimized geometry; distance to the lowest polymorph of the same formula = 0 meV/atom; E = -1.47 eV per atom; symmetry = I-42d (122); energy relative to the elements, uncorrected = -0.35 eV per atom; N(E_F) = 0.000 states/eV per atom
1.0
-9.6610 -0.4782 -2.4542
-0.5566 -9.1380 3.9716
-5.9164 -3.4889 3.6809
I K Cd
2 2 4
direct
0.0000 0.0000 0.0000
0.7500 0.2500 0.5000
0.5000 0.5000 0.0000
0.2500 0.7500 0.5000
0.6370 0.1250 0.2500
0.1130 0.6250 0.2500
0.3750 0.3630 0.7500
0.8750 0.8870 0.7500



# 19
PBE-GGA Th4PaP6, optimized geometry; E = -7.77 eV per atom; symmetry = R-3c (167); energy relative to the elements = -1.263 eV per atom; N(E_F) = 0.623 states/eV per atom
1.0
8.0620 -0.0205 -0.0470
0.0466 8.0619 -0.0470
0.0207 0.0205 8.0621
Th Pa P
8 2 12
direct
0.3698 0.1302 0.2500
0.8698 0.2500 0.3698
0.2500 0.6302 0.1302
0.2500 0.2500 0.7500
0.7500 0.7500 0.2500
0.7500 0.3698 0.8698
0.1302 0.7500 0.6302
0.6302 0.8698 0.7500
0.5000 0.5000 0.5000
0.0000 0.0000 0.0000
0.6810 0.0647 0.0855
0.0855 0.3190 0.0647
0.5855 0.4353 0.1810
0.9353 0.0855 0.6810
0.5647 0.1810 0.5855
0.1810 0.4145 0.4353
0.8190 0.5855 0.5647
0.4353 0.8190 0.4145
0.0647 0.9145 0.3190
0.4145 0.5647 0.8190
0.9145 0.6810 0.9353
0.3190 0.9353 0.9145



# 20
PBE-GGA ScTa2, optimized geometry; distance to the lowest polymorph of the same formula = 664 meV/atom; E = -9.19 eV per atom; symmetry = I4/mcm (140); energy relative to the elements = 0.820 eV per atom; N(E_F) = 1.517 states/eV per atom
1.0
3.3160 1.1227 4.1152
-2.1383 4.0676 -2.8414
-4.2305 -2.4814 2.2665
Sc Ta
2 4
direct
0.7500 0.7500 0.0000
0.2500 0.2500 0.0000
0.6496 0.1496 0.7992
0.1496 0.3504 0.5000
0.8504 0.6496 0.5000
0.3504 0.8504 0.2008